Entry 1:
An optimized crystal structure of K6Rb23Cd, computed with PBE.

Structure (POSCAR):
```
K6Rb23Cd
1.0
0.000 10.989 10.989
10.989 0.000 10.989
10.989 10.989 0.000
K Rb Cd
6 23 1
direct
0.176 0.176 0.824
0.176 0.824 0.176
0.176 0.824 0.824
0.824 0.176 0.176
0.824 0.176 0.824
0.824 0.824 0.176
0.000 0.000 0.500
0.000 0.500 0.000
0.000 0.500 0.500
0.143 0.619 0.619
0.158 0.158 0.158
0.158 0.158 0.525
0.158 0.525 0.158
0.381 0.381 0.381
0.381 0.381 0.857
0.381 0.857 0.381
0.475 0.842 0.842
0.500 0.000 0.000
0.500 0.000 0.500
0.500 0.500 0.000
0.500 0.500 0.500
0.525 0.158 0.158
0.619 0.143 0.619
0.619 0.619 0.143
0.619 0.619 0.619
0.842 0.475 0.842
0.842 0.842 0.475
0.842 0.842 0.842
0.857 0.381 0.381
0.000 0.000 0.000
```

---

Entry 2:
An optimized crystal structure of K11Rb17Cd, computed with PBE.

Structure (POSCAR):
```
K11Rb17Cd
1.0
8.371 -12.144 0.000
8.371 12.144 0.000
-8.190 0.000 11.577
K Rb Cd
11 17 1
direct
0.000 0.000 0.000
0.120 0.947 0.375
0.382 0.563 0.038
0.384 0.753 0.845
0.563 0.382 0.038
0.578 0.944 0.232
0.597 0.774 0.687
0.753 0.384 0.845
0.774 0.597 0.687
0.944 0.578 0.232
0.947 0.120 0.375
0.033 0.426 0.712
0.069 0.352 0.045
0.073 0.758 0.637
0.122 0.741 0.034
0.140 0.140 0.753
0.159 0.464 0.435
0.352 0.069 0.045
0.354 0.754 0.365
0.386 0.386 0.669
0.423 0.423 0.317
0.426 0.033 0.712
0.464 0.159 0.435
0.736 0.736 0.035
0.741 0.122 0.034
0.750 0.750 0.398
0.754 0.354 0.365
0.758 0.073 0.637
0.193 0.193 0.320
```

---

Entry 3:
An optimized crystal structure of K12RbCd5, computed with PBE.

Structure (POSCAR):
```
K12RbCd5
1.0
-5.929 6.015 6.848
5.929 -6.015 6.848
5.929 6.015 -6.848
K Rb Cd
12 1 5
direct
0.005 0.814 0.191
0.223 0.523 0.300
0.223 0.923 0.700
0.269 0.320 0.588
0.269 0.680 0.949
0.377 0.186 0.191
0.623 0.814 0.809
0.731 0.320 0.051
0.731 0.680 0.412
0.777 0.077 0.300
0.777 0.477 0.700
0.995 0.186 0.809
0.500 0.000 0.500
0.000 0.125 0.125
0.000 0.500 0.500
0.000 0.875 0.875
0.393 0.393 0.000
0.607 0.607 0.000
```

---

Entry 4:
An optimized crystal structure of KRb6Cd, computed with PBE.

Structure (POSCAR):
```
KRb6Cd
1.0
5.255 0.000 0.000
0.000 7.351 8.060
0.000 -7.351 8.060
K Rb Cd
1 6 1
direct
0.000 0.000 0.000
0.000 0.502 0.502
0.000 0.592 0.946
0.000 0.946 0.592
0.500 0.250 0.250
0.500 0.285 0.780
0.500 0.780 0.285
0.500 0.678 0.678
```

Output
The calculation puts the energy above the lowest structure with this stoichiometry at 4 meV per atom.

---

Entry 5:
An optimized crystal structure of K2Rb5Cd2, computed with PBE.

Structure (POSCAR):
```
K2Rb5Cd2
1.0
12.940 -4.828 0.000
12.940 4.828 0.000
0.000 0.000 9.638
K Rb Cd
4 10 4
direct
0.236 0.236 0.000
0.264 0.264 0.500
0.736 0.736 0.500
0.764 0.764 0.000
0.000 0.000 0.000
0.073 0.714 0.679
0.214 0.573 0.179
0.286 0.927 0.679
0.427 0.786 0.179
0.500 0.500 0.500
0.573 0.214 0.821
0.714 0.073 0.321
0.786 0.427 0.821
0.927 0.286 0.321
0.108 0.892 0.392
0.392 0.608 0.892
0.608 0.392 0.108
0.892 0.108 0.608
```

---

Entry 6:
An optimized crystal structure of K3RbCd, computed with PBE.

Structure (POSCAR):
```
K3RbCd
1.0
7.967 0.000 0.000
0.000 7.967 0.000
0.000 0.000 7.967
K Rb Cd
3 1 1
direct
0.000 0.000 0.500
0.000 0.500 0.000
0.500 0.000 0.000
0.000 0.000 0.000
0.500 0.500 0.500
```

Output
The calculation puts the energy above the lowest structure with this stoichiometry at 378 meV per atom.

---

Entry 7:
An optimized crystal structure of KRb2Cd, computed with PBE.

Structure (POSCAR):
```
KRb2Cd
1.0
2.446 1.412 12.845
-2.446 1.412 12.845
0.000 -2.824 12.845
K Rb Cd
1 2 1
direct
0.000 0.000 0.000
0.565 0.565 0.565
0.768 0.768 0.768
0.166 0.166 0.166
```

Output
The calculation puts the energy above the lowest structure with this stoichiometry at 75 meV per atom.

---

Entry 8:
An optimized crystal structure of K3RbCd8, computed with PBE.

Structure (POSCAR):
```
K3RbCd8
1.0
3.184 1.838 10.734
-3.184 1.838 10.734
0.000 -3.676 10.734
K Rb Cd
3 1 8
direct
0.000 0.000 0.000
0.124 0.124 0.124
0.625 0.625 0.625
0.500 0.500 0.500
0.060 0.562 0.562
0.063 0.063 0.564
0.063 0.564 0.063
0.312 0.312 0.312
0.562 0.060 0.562
0.562 0.562 0.060
0.564 0.063 0.063
0.812 0.812 0.812
```

---

Entry 9:
An optimized crystal structure of K2Rb8Cd, computed with PBE.

Structure (POSCAR):
```
K2Rb8Cd
1.0
12.205 -3.796 0.000
12.205 3.796 0.000
-2.949 0.000 9.390
K Rb Cd
2 8 1
direct
0.195 0.195 0.179
0.805 0.805 0.821
0.013 0.013 0.276
0.185 0.185 0.707
0.361 0.361 0.591
0.402 0.402 0.101
0.598 0.598 0.899
0.639 0.639 0.409
0.815 0.815 0.293
0.987 0.987 0.724
0.500 0.500 0.500
```

Output
The calculation puts the energy above the lowest structure with this stoichiometry at 7 meV per atom.

---

Entry 10:
An optimized crystal structure of K2RbCd2, computed with PBE.

Structure (POSCAR):
```
K2RbCd2
1.0
9.628 0.000 0.000
0.000 9.628 0.000
0.000 0.000 5.170
K Rb Cd
4 2 4
direct
0.172 0.328 0.000
0.328 0.828 0.000
0.672 0.172 0.000
0.828 0.672 0.000
0.000 0.000 0.500
0.500 0.500 0.500
0.109 0.609 0.500
0.391 0.109 0.500
0.609 0.891 0.500
0.891 0.391 0.500
```

Output
The calculation puts the energy above the lowest structure with this stoichiometry at 23 meV per atom.

---

Entry 11:
An optimized crystal structure of K4Rb5Cd, computed with PBE.

Structure (POSCAR):
```
K4Rb5Cd
1.0
4.790 0.000 0.000
0.000 4.790 0.000
0.000 0.000 32.029
K Rb Cd
4 5 1
direct
0.000 0.000 0.108
0.000 0.000 0.326
0.000 0.000 0.674
0.000 0.000 0.892
0.500 0.500 0.000
0.500 0.500 0.217
0.500 0.500 0.433
0.500 0.500 0.567
0.500 0.500 0.783
0.000 0.000 0.500
```

---

Entry 12:
An optimized crystal structure of K5Rb5Cd, computed with PBE.

Structure (POSCAR):
```
K5Rb5Cd
1.0
10.814 -3.607 0.000
10.814 3.607 0.000
-9.091 0.000 10.990
K Rb Cd
5 5 1
direct
0.000 0.000 0.000
0.337 0.337 0.015
0.346 0.346 0.665
0.654 0.654 0.335
0.663 0.663 0.985
0.012 0.012 0.704
0.246 0.246 0.249
0.500 0.500 0.500
0.754 0.754 0.751
0.988 0.988 0.296
0.500 0.500 0.000
```

---

Entry 13:
An optimized crystal structure of K14RbCd, computed with PBE.

Structure (POSCAR):
```
K14RbCd
1.0
14.826 0.000 0.000
0.000 4.474 8.301
0.000 -4.474 8.301
K Rb Cd
14 1 1
direct
0.000 0.000 0.000
0.000 0.003 0.488
0.000 0.488 0.003
0.000 0.493 0.493
0.239 0.654 0.654
0.257 0.146 0.654
0.257 0.654 0.146
0.293 0.131 0.131
0.500 0.002 0.526
0.500 0.526 0.002
0.707 0.131 0.131
0.743 0.146 0.654
0.743 0.654 0.146
0.761 0.654 0.654
0.500 0.511 0.511
0.500 0.966 0.966
```

---

Entry 14:
An optimized crystal structure of KRb3Cd, computed with PBE.

Structure (POSCAR):
```
KRb3Cd
1.0
7.285 0.000 0.000
0.000 7.285 0.000
0.000 0.000 7.285
K Rb Cd
1 3 1
direct
0.000 0.000 0.000
0.000 0.500 0.500
0.500 0.000 0.500
0.500 0.500 0.000
0.500 0.500 0.500
```

Output
The calculation puts the energy above the lowest structure with this stoichiometry at 56 meV per atom.

---

Entry 15:
An optimized crystal structure of K2RbCd2, computed with PBE.

Structure (POSCAR):
```
K2RbCd2
1.0
10.687 0.000 0.000
0.000 10.687 0.000
0.000 0.000 4.033
K Rb Cd
4 2 4
direct
0.130 0.370 0.000
0.370 0.870 0.000
0.630 0.130 0.000
0.870 0.630 0.000
0.000 0.000 0.000
0.500 0.500 0.000
0.166 0.666 0.500
0.334 0.166 0.500
0.666 0.834 0.500
0.834 0.334 0.500
```

Output
The calculation puts the energy above the lowest structure with this stoichiometry at 75 meV per atom.

---

Entry 16:
An optimized crystal structure of K2Rb3Cd, computed with PBE.

Structure (POSCAR):
```
K2Rb3Cd
1.0
3.637 -11.736 0.000
3.637 11.736 0.000
0.000 0.000 4.817
K Rb Cd
2 3 1
direct
0.119 0.881 0.000
0.881 0.119 0.000
0.312 0.688 0.500
0.500 0.500 0.000
0.688 0.312 0.500
0.000 0.000 0.500
```

---

Entry 17:
An optimized crystal structure of K12Rb5Cd2, computed with PBE.

Structure (POSCAR):
```
K12Rb5Cd2
1.0
13.611 -4.717 0.000
13.611 4.717 0.000
-2.545 0.000 10.787
K Rb Cd
12 5 2
direct
0.005 0.005 0.307
0.099 0.626 0.325
0.118 0.629 0.805
0.371 0.882 0.195
0.374 0.901 0.675
0.455 0.455 0.116
0.545 0.545 0.884
0.626 0.099 0.325
0.629 0.118 0.805
0.882 0.371 0.195
0.901 0.374 0.675
0.995 0.995 0.693
0.253 0.253 0.005
0.254 0.254 0.499
0.500 0.500 0.500
0.746 0.746 0.501
0.747 0.747 0.995
0.156 0.844 0.000
0.844 0.156 0.000
```

---

Entry 18:
An optimized crystal structure of K6Rb3Cd, computed with PBE.

Structure (POSCAR):
```
K6Rb3Cd
1.0
14.835 0.000 0.000
0.000 5.025 0.000
-4.831 0.000 19.204
K Rb Cd
12 6 2
direct
0.002 0.250 0.090
0.121 0.750 0.557
0.247 0.250 0.992
0.313 0.250 0.236
0.357 0.750 0.449
0.473 0.750 0.100
0.527 0.250 0.900
0.643 0.250 0.551
0.687 0.750 0.764
0.753 0.750 0.008
0.879 0.250 0.443
0.998 0.750 0.910
0.063 0.750 0.296
0.245 0.750 0.797
0.405 0.250 0.656
0.595 0.750 0.344
0.755 0.250 0.203
0.937 0.250 0.704
0.188 0.750 0.111
0.812 0.250 0.889
```

---

Entry 19:
An optimized crystal structure of KRb6Cd, computed with PBE.

Structure (POSCAR):
```
KRb6Cd
1.0
8.645 0.000 0.000
-1.446 8.572 0.000
-1.242 -1.605 8.464
K Rb Cd
1 6 1
direct
0.000 0.000 0.000
0.108 0.280 0.561
0.281 0.558 0.113
0.442 0.889 0.720
0.558 0.111 0.280
0.719 0.442 0.887
0.892 0.720 0.439
0.500 0.500 0.500
```

Output
The calculation puts the energy above the lowest structure with this stoichiometry at 0 meV per atom.

---

Entry 20:
An optimized crystal structure of K4RbCd, computed with PBE.

Structure (POSCAR):
```
K4RbCd
1.0
0.000 5.926 5.926
5.926 0.000 5.926
5.926 5.926 0.000
K Rb Cd
4 1 1
direct
0.376 0.376 0.376
0.376 0.376 0.872
0.376 0.872 0.376
0.872 0.376 0.376
0.000 0.000 0.000
0.750 0.750 0.750
```

Output
The calculation puts the energy above the lowest structure with this stoichiometry at 141 meV per atom.

---

no.,ΔE_f (eV/atom),total DFT energy (no corrections) (eV/atom)
1,0.056,-0.936
2,0.012,-1.003
3,-0.017,-1.057
4,0.026,-0.951
5,-0.010,-0.995
6,0.381,-0.654
7,0.054,-0.933
8,-0.090,-1.055
9,0.020,-0.967
10,-0.026,-1.025
11,0.010,-1.005
12,0.051,-0.971
13,0.019,-1.059
14,0.047,-0.936
15,0.026,-0.973
16,0.016,-0.986
17,0.033,-1.011
18,0.006,-1.034
19,0.022,-0.955
20,0.132,-0.913